Here is a relaxed structure of NaSr2Bi2 from the Alexandria database. Energies are from GGA-PBE.

```
NaSr2Bi2
1.0
9.669 0.000 0.000
0.000 9.669 0.000
0.000 0.000 4.026
Na Sr Bi
2 4 4
Cartesian
0.000 0.000 0.000
4.834 4.834 0.000
1.326 3.508 2.013
3.508 8.342 2.013
6.161 1.326 2.013
8.342 6.161 2.013
1.587 6.421 0.000
3.248 1.587 0.000
6.421 8.082 0.000
8.082 3.248 0.000
```

## Properties
**ΔE_f**: -0.671 eV per atom
**Polymorph energy (0 for the lowest one)**: 0 meV per atom



Here is a relaxed structure of Na2SrBi from the Alexandria database. Energies are from GGA-PBE.

```
Na2SrBi
1.0
1.891 1.092 13.092
-1.891 1.092 13.092
0.000 -2.183 13.092
Na Sr Bi
2 1 1
Cartesian
0.000 0.000 3.106
0.000 0.000 36.169
0.000 0.000 19.637
0.000 0.000 0.000
```

## Properties
**ΔE_f**: 0.109 eV per atom



Here is a relaxed structure of Na4SrBi2 from the Alexandria database. Energies are from GGA-PBE.

```
Na4SrBi2
1.0
2.705 1.562 8.949
-2.705 1.562 8.949
0.000 -3.123 8.949
Na Sr Bi
4 1 2
Cartesian
0.000 0.000 2.410
0.000 0.000 9.722
0.000 0.000 17.124
0.000 0.000 24.435
0.000 0.000 13.423
0.000 0.000 6.441
0.000 0.000 20.405
```

## Properties
**ΔE_f**: -0.503 eV per atom
**Polymorph energy (0 for the lowest one)**: 0 meV per atom



Here is a relaxed structure of Na2SrBi6 from the Alexandria database. Energies are from GGA-PBE.

```
Na2SrBi6
1.0
8.916 -3.457 0.000
8.916 3.457 0.000
-1.566 0.000 5.058
Na Sr Bi
2 1 6
Cartesian
0.000 0.000 0.000
3.316 0.000 1.043
11.976 0.000 0.957
4.086 1.713 4.049
6.627 1.620 2.060
9.747 1.715 3.038
4.086 -1.713 4.049
6.627 -1.620 2.060
9.747 -1.715 3.038
```

## Properties
**ΔE_f**: -0.266 eV per atom



Here is a relaxed structure of NaSr3Bi2 from the Alexandria database. Energies are from GGA-PBE.

```
NaSr3Bi2
1.0
-3.547 9.044 3.557
3.547 -9.044 3.557
3.547 9.044 -3.557
Na Sr Bi
2 6 4
Cartesian
0.000 0.000 1.778
0.000 0.000 5.335
1.639 3.221 0.000
3.547 0.000 1.778
1.639 -3.221 3.557
1.908 12.265 0.000
0.000 9.044 1.778
1.908 5.823 3.557
5.269 2.373 0.000
1.722 6.671 0.000
1.825 2.373 3.557
-1.722 6.671 3.557
```

## Properties
**ΔE_f**: -0.665 eV per atom



Here is a relaxed structure of Na2SrBi2 from the Alexandria database. Energies are from GGA-PBE.

```
Na2SrBi2
1.0
9.436 0.000 0.000
0.000 9.436 0.000
0.000 0.000 3.716
Na Sr Bi
4 2 4
Cartesian
1.157 3.561 0.000
3.561 8.279 0.000
5.874 1.157 0.000
8.279 5.874 0.000
0.000 0.000 1.858
4.718 4.718 1.858
1.648 6.366 1.858
3.070 1.648 1.858
6.366 7.787 1.858
7.787 3.070 1.858
```

## Properties
**ΔE_f**: -0.391 eV per atom
**Polymorph energy (0 for the lowest one)**: 126 meV per atom



Here is a relaxed structure of Na5Sr3Bi12 from the Alexandria database. Energies are from GGA-PBE.

```
Na5Sr3Bi12
1.0
-9.823 9.823 9.823
9.823 -9.823 9.823
9.823 9.823 -9.823
Na Sr Bi
20 12 48
Cartesian
0.000 0.000 0.000
4.912 4.912 -4.912
4.912 -4.912 4.912
9.823 0.000 0.000
14.735 2.456 0.000
9.823 -4.912 7.367
7.367 9.823 -4.912
7.367 0.000 4.912
4.912 7.367 0.000
9.823 4.912 2.456
-4.912 4.912 4.912
0.000 9.823 0.000
0.000 0.000 9.823
4.912 4.912 4.912
0.000 4.912 7.367
4.912 2.456 9.823
2.456 9.823 4.912
2.456 0.000 14.735
0.000 14.735 2.456
-4.912 7.367 9.823
4.912 2.456 0.000
9.823 4.912 -2.456
2.456 0.000 4.912
12.279 0.000 4.912
0.000 4.912 2.456
4.912 -2.456 9.823
4.912 12.279 0.000
9.823 4.912 7.367
-2.456 9.823 4.912
7.367 9.823 4.912
0.000 4.912 12.279
4.912 7.367 9.823
12.835 -0.151 1.575
11.723 -3.337 4.760
9.975 -1.575 3.012
14.583 -1.900 3.337
3.012 0.151 1.575
11.723 6.486 -4.760
6.486 4.760 -1.900
8.248 3.012 -0.151
1.575 3.012 0.151
13.160 5.063 -1.900
0.151 1.575 3.012
4.760 -1.900 6.486
9.975 8.248 -3.012
4.760 1.900 3.337
3.337 4.760 1.900
11.398 6.811 -0.151
6.486 -4.760 11.723
8.248 -3.012 9.975
1.900 3.337 4.760
3.012 -0.151 8.248
4.760 11.723 -3.337
9.975 1.575 6.811
3.012 9.975 -1.575
11.723 3.337 5.063
-1.900 6.486 4.760
6.811 -0.151 11.398
-0.151 8.248 3.012
5.063 -1.900 13.160
6.811 9.975 1.575
7.923 6.486 5.063
1.575 12.835 -0.151
3.337 14.583 -1.900
-1.575 3.012 9.975
6.486 5.063 7.923
5.063 7.923 6.486
-0.151 1.575 12.835
5.063 11.723 3.337
9.672 8.248 6.811
-3.337 4.760 11.723
8.248 6.811 9.672
1.575 6.811 9.975
3.337 5.063 11.723
-1.900 3.337 14.583
6.811 9.672 8.248
-4.760 11.723 6.486
-0.151 11.398 6.811
-1.900 13.160 5.063
-3.012 9.975 8.248
```

## Properties
**ΔE_f**: -0.138 eV per atom



Here is a relaxed structure of NaSr6Bi5 from the Alexandria database. Energies are from GGA-PBE.

```
NaSr6Bi5
1.0
-2.956 3.967 9.272
2.956 -3.967 9.272
2.956 3.967 -9.272
Na Sr Bi
1 6 5
Cartesian
0.000 0.000 0.000
2.956 -1.884 6.047
2.956 2.221 0.000
0.000 2.082 3.224
2.956 1.884 6.047
0.000 1.746 9.272
0.000 5.851 3.224
2.956 0.000 2.672
0.000 0.000 6.064
0.000 3.967 0.000
0.000 0.000 12.479
0.000 3.967 6.599
```

## Properties
**ΔE_f**: -0.729 eV per atom



Here is a relaxed structure of Na2SrBi2 from the Alexandria database. Energies are from GGA-PBE.

```
Na2SrBi2
1.0
-2.861 2.861 5.224
2.861 -2.861 5.224
2.861 2.861 -5.224
Na Sr Bi
2 1 2
Cartesian
0.000 0.000 1.455
0.000 0.000 8.994
0.000 0.000 5.224
2.861 0.000 2.612
0.000 2.861 2.612
```

## Properties
**ΔE_f**: -0.320 eV per atom
**Polymorph energy (0 for the lowest one)**: 197 meV per atom



Here is a relaxed structure of Na6SrBi4 from the Alexandria database. Energies are from GGA-PBE.

```
Na6SrBi4
1.0
10.552 0.000 0.000
-5.276 9.138 0.000
0.000 0.000 3.705
Na Sr Bi
6 1 4
Cartesian
-2.254 4.791 0.000
0.000 2.398 1.852
-3.200 7.940 1.852
2.254 4.791 0.000
0.000 8.695 0.000
3.200 7.940 1.852
5.276 3.046 1.852
0.000 6.092 1.852
2.690 1.553 0.000
7.862 1.553 0.000
5.276 6.032 0.000
```

## Properties
**ΔE_f**: -0.402 eV per atom



Here is a relaxed structure of Na3Sr4Bi4 from the Alexandria database. Energies are from GGA-PBE.

```
Na3Sr4Bi4
1.0
-2.503 4.576 9.785
2.503 -4.576 9.785
2.503 4.576 -9.785
Na Sr Bi
3 4 4
Cartesian
0.000 0.000 0.000
2.503 0.000 8.286
0.000 4.576 1.498
2.503 1.974 -3.219
2.503 1.974 3.219
0.000 2.601 6.565
0.000 2.601 13.004
0.000 0.000 4.397
2.503 2.725 0.000
0.000 1.851 9.785
0.000 0.000 15.172
```

## Properties
**ΔE_f**: -0.543 eV per atom



Here is a relaxed structure of Na2SrBi from the Alexandria database. Energies are from GGA-PBE.

```
Na2SrBi
1.0
-2.445 2.445 12.370
2.445 -2.445 12.370
2.445 2.445 -12.370
Na Sr Bi
4 2 2
Cartesian
3.667 1.004 -3.093
1.004 1.222 3.093
-1.222 1.441 9.278
1.441 1.222 15.463
2.445 0.000 6.185
0.000 0.000 12.370
0.000 0.000 0.000
0.000 2.445 6.185
```

## Properties
**ΔE_f**: -0.290 eV per atom



Here is a relaxed structure of Na2SrBi2 from the Alexandria database. Energies are from GGA-PBE.

```
Na2SrBi2
1.0
2.686 1.551 6.667
-2.686 1.551 6.667
0.000 -3.101 6.667
Na Sr Bi
2 1 2
Cartesian
0.000 0.000 4.090
0.000 0.000 15.910
0.000 0.000 0.000
0.000 0.000 8.386
0.000 0.000 11.614
```

## Properties
**ΔE_f**: -0.517 eV per atom
**Polymorph energy (0 for the lowest one)**: 0 meV per atom



Here is a relaxed structure of Na2Sr2Bi from the Alexandria database. Energies are from GGA-PBE.

```
Na2Sr2Bi
1.0
8.314 0.000 0.000
0.000 8.314 0.000
0.000 0.000 5.448
Na Sr Bi
4 4 2
Cartesian
1.080 3.077 0.000
3.077 7.234 0.000
5.237 1.080 0.000
7.234 5.237 0.000
1.559 5.716 2.724
2.598 1.559 2.724
5.716 6.755 2.724
6.755 2.598 2.724
0.000 0.000 0.000
4.157 4.157 0.000
```

## Properties
**ΔE_f**: -0.222 eV per atom
**Polymorph energy (0 for the lowest one)**: 36 meV per atom



Here is a relaxed structure of NaSrBi3 from the Alexandria database. Energies are from GGA-PBE.

```
NaSrBi3
1.0
5.617 0.000 0.000
0.000 5.617 0.000
0.000 0.000 5.617
Na Sr Bi
1 1 3
Cartesian
0.000 0.000 0.000
2.808 2.808 2.808
0.000 0.000 2.808
0.000 2.808 0.000
2.808 0.000 0.000
```

## Properties
**ΔE_f**: 0.007 eV per atom
**Polymorph energy (0 for the lowest one)**: 0 meV per atom



Here is a relaxed structure of Na3SrBi3 from the Alexandria database. Energies are from GGA-PBE.

```
Na3SrBi3
1.0
8.315 0.000 0.000
0.000 8.315 0.000
0.000 0.000 8.315
Na Sr Bi
6 2 6
Cartesian
0.000 2.079 4.157
0.000 6.236 4.157
2.079 4.157 0.000
4.157 0.000 2.079
4.157 0.000 6.236
6.236 4.157 0.000
0.000 0.000 0.000
4.157 4.157 4.157
0.000 4.157 2.079
0.000 4.157 6.236
2.079 0.000 4.157
4.157 2.079 0.000
4.157 6.236 0.000
6.236 0.000 4.157
```

## Properties
**ΔE_f**: 0.173 eV per atom



Here is a relaxed structure of NaSr3Bi4 from the Alexandria database. Energies are from GGA-PBE.

```
NaSr3Bi4
1.0
-2.306 3.519 9.590
2.306 -3.519 9.590
2.306 3.519 -9.590
Na Sr Bi
1 3 4
Cartesian
0.000 0.000 0.000
2.306 0.000 4.045
0.000 0.000 9.590
0.000 3.519 5.545
2.306 -1.520 7.185
0.000 1.998 2.405
2.306 1.520 7.185
0.000 5.039 2.405
```

## Properties
**ΔE_f**: -0.593 eV per atom



Here is a relaxed structure of Na2SrBi from the Alexandria database. Energies are from GGA-PBE.

```
Na2SrBi
1.0
2.535 -5.823 0.000
2.535 5.823 0.000
0.000 0.000 10.019
Na Sr Bi
4 2 2
Cartesian
2.535 4.021 5.593
2.535 4.021 9.435
2.535 -4.021 0.584
2.535 -4.021 4.426
2.535 0.655 7.514
2.535 -0.655 2.505
2.535 2.826 2.505
2.535 -2.826 7.514
```

## Properties
**ΔE_f**: -0.404 eV per atom



Here is a relaxed structure of Na7Sr3Bi4 from the Alexandria database. Energies are from GGA-PBE.

```
Na7Sr3Bi4
1.0
9.319 -2.624 0.000
9.319 2.624 0.000
-8.232 0.000 9.689
Na Sr Bi
7 3 4
Cartesian
0.000 0.000 0.000
-4.297 0.000 8.769
2.099 0.000 4.810
7.183 0.000 1.832
3.223 0.000 7.857
8.306 0.000 4.879
14.703 0.000 0.920
-4.116 0.000 4.845
-0.582 0.000 7.205
10.988 0.000 2.485
-0.815 0.000 3.154
4.013 0.000 2.356
6.393 0.000 7.333
11.221 0.000 6.535
```

## Properties
**ΔE_f**: -0.501 eV per atom



Here is a relaxed structure of Na2Sr3Bi3 from the Alexandria database. Energies are from GGA-PBE.

```
Na2Sr3Bi3
1.0
10.001 0.000 0.000
-5.001 8.661 0.000
0.000 0.000 6.931
Na Sr Bi
4 6 6
Cartesian
0.000 5.774 0.000
0.000 5.774 3.465
5.001 2.887 0.000
5.001 2.887 3.465
-1.484 2.570 1.733
-3.516 6.091 5.198
2.968 0.000 1.733
1.484 2.570 5.198
7.033 0.000 5.198
3.516 6.091 1.733
-1.829 3.169 5.198
-3.171 5.492 1.733
3.659 0.000 5.198
1.829 3.169 1.733
6.342 0.000 1.733
3.171 5.492 5.198
```

## Properties
**ΔE_f**: -0.672 eV per atom